Density functional theory data (GGA-PBE) for a geometry-optimized NbNiMo2 structure.

POSCAR file:
```
NbNiMo2
1.0
-3.5687 3.5687 2.5596
3.5687 -3.5687 2.5596
3.5687 3.5687 -2.5596
Nb Ni Mo
2 2 4
Direct
0.0000 0.0000 0.0000
0.7500 0.2500 0.5000
0.2500 0.7500 0.5000
0.5000 0.5000 0.0000
0.1541 0.6250 0.0291
0.3750 0.4041 0.5291
0.5959 0.1250 0.9709
0.8750 0.8459 0.4709
```

Computed properties:
**Polymorph energy (0 for the lowest one)**: 359 meV/atom
**ΔE_f**: 2.3 eV per formula unit
**Electronic total energy**: -8.8125 eV/atom
**SG**: No. 122